Record 1
Here is crystalline NaTmCoF6 at its relaxed geometry from Alexandria. Energies are from PBE with a Hubbard U.

Geometry as extended XYZ:
```
18
Lattice="-0.143 3.874 -4.044 -3.805 -4.111 0.077 -5.812 5.480 5.455" Properties=species:S:1:pos:R:3 pbc="T T T"
Na 0.000 0.000 0.000
Na -2.906 2.740 2.727
F -3.487 1.951 0.549
F -7.494 2.096 4.709
F -6.435 4.598 3.324
F -6.272 3.292 0.939
F -2.246 4.464 -0.654
F -0.893 2.100 -0.708
F -7.513 0.780 2.141
F -8.866 3.143 2.195
F -4.684 3.188 -1.969
F -2.265 3.147 -3.222
F -3.324 0.645 -1.837
F -5.076 2.056 3.456
Tm -5.722 5.323 1.421
Tm -4.037 -0.079 0.067
Co -2.816 2.582 -1.307
Co -6.943 2.661 2.794
```

## Properties
- N(E_F) (states/eV/cell) = 0.00
- calculated density (g cm⁻³) = 4.61
- space group = P-31c

=====

Record 2
Here is crystalline Na2TmCoF8 at its relaxed geometry from Alexandria. Energies are from PBE with a Hubbard U.

Geometry as extended XYZ:
```
12
Lattice="5.075 -0.074 -0.003 -0.055 5.105 -0.006 0.004 0.008 6.638" Properties=species:S:1:pos:R:3 pbc="T T T"
F 3.730 3.749 6.631
F 1.294 1.289 -0.002
F 4.158 0.856 1.534
F 3.540 3.560 3.313
F 0.865 4.183 5.094
F 4.160 0.860 5.096
F 1.484 1.478 3.316
F 0.863 4.178 1.532
Na 2.511 2.517 1.613
Na 2.513 2.521 5.016
Co 0.000 0.000 0.000
Tm 0.002 0.004 3.319
```

## Properties
- N(E_F) (states/eV/cell) = 0.00
- calculated density (g cm⁻³) = 4.11
- space group = P2/m

=====

Record 3
Here is crystalline NaTmCo2F8 at its relaxed geometry from Alexandria. Energies are from PBE with a Hubbard U.

Geometry as extended XYZ:
```
12
Lattice="-2.015 -4.138 -1.893 4.309 -1.157 -2.181 1.841 -3.381 5.415" Properties=species:S:1:pos:R:3 pbc="T T T"
F 3.429 -7.034 2.601
F 0.722 -6.108 2.192
F 1.649 -3.384 1.409
F 3.413 -2.568 -0.852
F 2.486 -5.292 -0.069
F 4.393 -4.369 2.031
F 0.706 -1.642 -1.260
F -0.258 -4.307 -0.691
Co 1.626 -3.527 -0.627
Co 2.509 -5.149 1.967
Tm 0.000 0.000 0.000
Na 0.920 -1.691 2.707
```

## Properties
- N(E_F) (states/eV/cell) = 0.00
- calculated density (g cm⁻³) = 4.67
- space group = P-1

=====

Record 4
Here is crystalline Na2UCoF8 at its relaxed geometry from Alexandria. Energies are from PBE with a Hubbard U.

Geometry as extended XYZ:
```
12
Lattice="-4.697 1.411 -1.408 -1.822 -3.081 3.811 0.332 5.349 4.390" Properties=species:S:1:pos:R:3 pbc="T T T"
F -3.881 4.597 2.841
F -4.378 1.505 3.897
F -1.422 4.885 5.023
F -1.809 2.174 2.896
F -2.306 -0.918 3.952
F -2.088 1.764 6.128
F -4.765 -1.206 1.770
F -4.099 1.915 0.665
Co 0.000 0.000 0.000
U 0.166 2.675 2.195
Na -3.181 0.365 2.179
Na -3.006 3.314 4.613
```

## Properties
- N(E_F) (states/eV/cell) = 4.56
- calculated density (g cm⁻³) = 4.45
- space group = P-1

=====

For the records above, the corresponding VASP energy values read -50.47, -62.79, -65.70, -69.27 eV/f.u..